! Tb2Sm3Zn2 PBE relaxed; values from VASP
&SYSTEM
  ibrav = 0, nat = 7, ntyp = 3
/
ATOMIC_SPECIES
Tb 158.93 Tb.upf
Sm 150.36 Sm.upf
Zn 65.41 Zn.upf
CELL_PARAMETERS angstrom
3.734 0.000 0.000
-1.867 6.451 -0.397
0.000 -3.490 8.525
ATOMIC_POSITIONS angstrom
Tb 1.867 3.849 1.305
Sm 1.867 0.000 0.000
Zn 1.867 1.432 6.354
Zn 0.000 1.529 1.773
Sm 1.867 -0.119 3.657
Tb 0.000 -0.887 6.822
Sm 0.000 3.080 4.471
! D(E_F): 8.146 states/eV per cell
! E above lowest polymorph: 0.00 kcal/mol of atoms